1.
Entry from Alexandria via LeMat-Bulk: a geometry-optimized Tb3MgAg2 structure (PBE).

Cell lengths 3.687, 3.687, 11.139 Å; angles 90.00, 90.00, 90.00 degrees
Fractional positions:
Tb: 0.000 0.000 0.000
Tb: 0.000 0.000 0.326
Tb: 0.000 0.000 0.674
Mg: 0.500 0.500 0.500
Ag: 0.500 0.500 0.167
Ag: 0.500 0.500 0.833

Values from the calculation:
Symmetry   P4/mmm, No. 123
Raw total energy   -22.6 eV/cell
ΔE_f   -0.233 eV per atom

=====

2.
Entry from Alexandria via LeMat-Bulk: a geometry-optimized La3CdIr structure (PBE).

Cell lengths 10.095, 10.095, 8.777 Å; angles 105.60, 105.60, 122.15 degrees
Fractional positions:
La: 0.050 0.704 0.502
La: 0.202 0.548 0.001
La: 0.216 0.289 0.251
La: 0.289 0.216 0.751
La: 0.296 0.950 0.998
La: 0.452 0.798 0.499
La: 0.548 0.202 0.501
La: 0.704 0.050 0.002
La: 0.711 0.784 0.249
La: 0.784 0.711 0.749
La: 0.798 0.452 0.999
La: 0.950 0.296 0.498
Cd: 0.085 0.915 0.250
Cd: 0.412 0.588 0.750
Cd: 0.588 0.412 0.250
Cd: 0.915 0.085 0.750
Ir: 0.054 0.448 0.251
Ir: 0.448 0.054 0.751
Ir: 0.552 0.946 0.249
Ir: 0.946 0.552 0.749

Values from the calculation:
E above lowest polymorph   47 meV/atom
Symmetry   C2/c, No. 15
Raw total energy   -107.1 eV/cell
ΔE_f   -0.442 eV per atom

=====

3.
Entry from Alexandria via LeMat-Bulk: a geometry-optimized Nd4InPb3 structure (PBE).

Cell lengths 4.495, 4.714, 11.951 Å; angles 90.00, 90.00, 90.00 degrees
Fractional positions:
Nd: 0.000 0.000 0.000
Nd: 0.000 0.500 0.496
Nd: 0.500 0.000 0.729
Nd: 0.500 0.500 0.229
In: 0.000 0.000 0.275
Pb: 0.000 0.500 0.767
Pb: 0.500 0.000 0.451
Pb: 0.500 0.500 0.958

Values from the calculation:
Symmetry   Pmm2, No. 25
Raw total energy   -37.3 eV/cell
ΔE_f   -0.548 eV per atom

=====

4.
Entry from Alexandria via LeMat-Bulk: a geometry-optimized Hf2Sb2Pt structure (PBE).

Cell lengths 7.452, 7.452, 3.889 Å; angles 90.00, 90.00, 90.00 degrees
Fractional positions:
Hf: 0.147 0.353 0.000
Hf: 0.353 0.853 0.000
Hf: 0.647 0.147 0.000
Hf: 0.853 0.647 0.000
Sb: 0.156 0.656 0.500
Sb: 0.344 0.156 0.500
Sb: 0.656 0.844 0.500
Sb: 0.844 0.344 0.500
Pt: 0.000 0.000 0.500
Pt: 0.500 0.500 0.500

Values from the calculation:
Symmetry   P4/mbm, No. 127
Raw total energy   -71.1 eV/cell
Formation energy (no corrections)   -1.36 eV per formula unit

=====

5.
Entry from Alexandria via LeMat-Bulk: a geometry-optimized Ba8AgPd3I4 structure (PBE).

Cell lengths 10.363, 10.363, 10.363 Å; angles 53.82, 53.82, 53.82 degrees
Fractional positions:
Ba: 0.226 0.741 0.741
Ba: 0.234 0.234 0.234
Ba: 0.259 0.259 0.774
Ba: 0.259 0.774 0.259
Ba: 0.741 0.226 0.741
Ba: 0.741 0.741 0.226
Ba: 0.766 0.766 0.766
Ba: 0.774 0.259 0.259
Ag: 0.500 0.500 0.500
Pd: 0.000 0.000 0.500
Pd: 0.000 0.500 0.000
Pd: 0.500 0.000 0.000
I: 0.000 0.000 0.000
I: 0.000 0.500 0.500
I: 0.500 0.000 0.500
I: 0.500 0.500 0.000

Values from the calculation:
Symmetry   R-3m, No. 166
Raw total energy   -55.0 eV/cell
Formation energy (no corrections)   -15.03 eV per formula unit

=====

6.
Entry from Alexandria via LeMat-Bulk: a geometry-optimized KAl2Ni structure (PBE).

Cell lengths 3.233, 3.233, 8.060 Å; angles 90.00, 90.00, 90.00 degrees
Fractional positions:
K: 0.000 0.000 0.000
Al: 0.000 0.000 0.430
Al: 0.500 0.500 0.654
Ni: 0.500 0.500 0.340

Values from the calculation:
E above lowest polymorph   178 meV/atom
Symmetry   P4mm, No. 99
Raw total energy   -14.1 eV/cell
ΔE_f   0.054 eV per atom